K2Tm2BiS6: relaxed, PBE.

Space-group type: C2/m
DOS(E_F): 4.246 states/eV/cell
Energy relative to the elements, uncorrected: -15.265 eV/f.u.
Spin magnetization: 0.000 μB per formula unit

Cell and atoms, written as extended XYZ:
```
11
Lattice="-2.986 0.774 6.151 3.005 -5.961 -1.669 6.571 4.201 1.416" Properties=species:S:1:pos:R:3 pbc="T T T"
Tm 2.295 0.631 4.254
S 1.995 -0.143 1.651
K 2.015 -4.848 -0.376
Bi 3.285 2.101 0.708
S 5.601 0.574 0.701
S 4.595 -0.843 4.246
K -1.995 -0.340 4.858
Tm 4.295 -1.617 1.644
S 0.988 -1.560 5.197
S 3.564 2.864 3.360
S 3.025 -3.850 2.538
```


Pr3MgNi4: relaxed, PBE.

DFT formation energy: -0.161 eV/atom
Space-group type: Immm
DOS(E_F): 4.222 states/eV/cell
Spin magnetization: 0.000 μB per formula unit

Cell and atoms, written as extended XYZ:
```
8
Lattice="4.006 0.000 0.000 0.000 5.875 -0.661 -2.003 -2.094 7.817" Properties=species:S:1:pos:R:3 pbc="T T T"
Ni 2.003 4.299 1.399
Ni 2.003 1.994 1.659
Ni 0.000 1.788 5.497
Mg 2.003 0.000 0.000
Ni 0.000 -0.518 5.757
Pr 0.000 0.323 2.873
Pr 2.003 3.458 4.283
Pr 0.000 2.938 -0.331
```


PrPaRu2: relaxed, PBE.

DFT formation energy: -0.401 eV/atom
Space-group type: P2_1/m
DOS(E_F): 5.777 states/eV/cell
Spin magnetization: 0.000 μB per formula unit

Cell and atoms, written as extended XYZ:
```
8
Lattice="-4.114 1.495 0.861 -2.185 -3.567 -4.242 0.352 -2.956 6.811" Properties=species:S:1:pos:R:3 pbc="T T T"
Pa -1.363 -2.308 3.273
Ru -3.584 -1.175 2.250
Ru -2.363 -3.853 1.180
Pa -4.584 -2.720 0.156
Pr -4.367 -4.177 3.721
Pr -1.580 -0.852 -0.291
Ru -2.785 -3.348 -1.712
Ru -3.162 -1.680 5.142
```


Among the records above, which one has the lowest DOS(E_F)?
Pr3MgNi4


Which of these has the lowest DOS(E_F)?
Pr3MgNi4


Which value of DOS(E_F) does entry 3 give?
5.777 states/eV/cell